## ZnHOs (PBE)

Data for an optimized crystal structure of ZnHOs.

## Properties
Energy relative to the lowest polymorph listed for this composition   71.3 meV/atom
N(E_F)   0.47 states/eV per atom
SG   P-1

Unit cell a=2.8339 b=4.8348 c=6.5727 alpha=105.36 beta=130.40 gamma=89.86
Fractional positions:
H (0.1182, 0.6556, 0.9118)
H (0.8818, 0.3444, 0.0882)
Zn (0.2371, 0.7386, 0.3251)
Zn (0.7629, 0.2614, 0.6749)
Os (0.4430, 0.8020, 0.7959)
Os (0.5570, 0.1980, 0.2041)

=====

## Lu2ZrAu (PBE)

Data for an optimized crystal structure of Lu2ZrAu.

## Properties
E_form   -0.418 eV/atom
Energy relative to the lowest polymorph listed for this composition   0.0 meV/atom
N(E_F)   0.90 states/eV per atom
SG   P4/mmm

Unit cell a=3.3928 b=3.3928 c=8.3121 alpha=90.00 beta=90.00 gamma=90.00
Fractional positions:
Lu (0.0000, 0.0000, 0.7720)
Lu (0.0000, 0.0000, 0.2280)
Au (0.5000, 0.5000, 0.0000)
Zr (0.5000, 0.5000, 0.5000)

=====

## Ho8Sb2Pt (PBE)

Data for an optimized crystal structure of Ho8Sb2Pt.

## Properties
N(E_F)   1.05 states/eV per atom
SG   C2/m
Raw total energy   -5.22 eV/atom

Unit cell a=4.6332 b=7.2822 c=9.5901 alpha=96.88 beta=103.98 gamma=90.00
Fractional positions:
Ho (0.4039, 0.4843, 0.8078)
Ho (0.6477, 0.0367, 0.2955)
Ho (0.7852, 0.6481, 0.5703)
Ho (0.9985, 0.2285, 0.9969)
Ho (0.2148, 0.3519, 0.4297)
Ho (0.3523, 0.9633, 0.7045)
Ho (0.5961, 0.5157, 0.1922)
Ho (0.0015, 0.7715, 0.0031)
Sb (0.8184, 0.2272, 0.6369)
Sb (0.1816, 0.7728, 0.3631)
Pt (0.5000, 0.0000, 0.0000)

=====

## TbY2Au (PBE)

Data for an optimized crystal structure of TbY2Au.

## Properties
E_form   -0.405 eV/atom
Energy relative to the lowest polymorph listed for this composition   47.1 meV/atom
N(E_F)   1.35 states/eV per atom
SG   Cmcm

Unit cell a=4.9904 b=6.4970 c=7.7412 alpha=90.00 beta=90.00 gamma=112.59
Fractional positions:
Tb (0.9574, 0.9149, 0.2500)
Tb (0.0426, 0.0851, 0.7500)
Y (0.3556, 0.7111, 0.5332)
Y (0.6444, 0.2889, 0.4668)
Y (0.3556, 0.7111, 0.9668)
Y (0.6444, 0.2889, 0.0332)
Au (0.7999, 0.5998, 0.7500)
Au (0.2001, 0.4002, 0.2500)

=====

## RbSn3 (PBE)

Data for an optimized crystal structure of RbSn3.

## Properties
E_form   -0.145 eV/atom
N(E_F)   0.14 states/eV per atom
SG   P4mm

Unit cell a=4.5153 b=4.5151 c=7.3618 alpha=90.00 beta=90.00 gamma=90.00
Fractional positions:
Sn (0.0000, 0.0000, 0.8771)
Sn (0.5000, 0.0000, 0.5936)
Sn (0.5000, 0.5000, 0.8772)
Rb (0.0000, 0.5000, 0.3187)

=====

## LaTb3Th2 (PBE)

Data for an optimized crystal structure of LaTb3Th2.

## Properties
E_form   0.037 eV/atom
Energy relative to the lowest polymorph listed for this composition   0.0 meV/atom
N(E_F)   1.41 states/eV per atom
SG   P2_1/m

Unit cell a=3.5958 b=10.1604 c=10.7761 alpha=89.39 beta=90.00 gamma=90.00
Fractional positions:
La (0.2500, 0.8765, 0.7502)
La (0.7500, 0.1235, 0.2498)
Tb (0.7500, 0.1355, 0.5821)
Tb (0.2500, 0.8645, 0.4179)
Tb (0.7500, 0.6241, 0.2504)
Tb (0.2500, 0.3759, 0.7496)
Tb (0.2500, 0.3714, 0.0829)
Tb (0.7500, 0.6286, 0.9171)
Th (0.2500, 0.3812, 0.4190)
Th (0.7500, 0.6188, 0.5810)
Th (0.7500, 0.1243, 0.9207)
Th (0.2500, 0.8757, 0.0793)